CoP3 | PBE | relaxed

Output
- energy relative to the lowest polymorph listed for this composition (meV/atom) = 0
- total energy (eV for the cell shown) = -101.2

Geometry as POSCAR:
```
CoP3
1.0
-3.293 -4.771 3.296
5.615 1.493 3.274
-3.828 5.443 -0.444
Co P
4 12
Cartesian
-1.647 -2.386 1.648 Co
2.808 0.746 1.637 Co
-1.914 2.721 -0.222 Co
-0.753 1.082 3.063 Co
1.069 -0.126 2.700 P
1.776 -1.124 4.698 P
-1.630 -2.457 3.863 P
2.798 2.206 3.305 P
-2.138 -0.246 1.953 P
-0.420 2.511 1.402 P
-1.086 -0.347 4.724 P
0.632 2.410 4.173 P
-4.304 -0.042 2.821 P
0.124 4.621 2.262 P
-3.282 3.288 1.428 P
-2.575 2.290 3.426 P
```